(1)
Here is PrIn2Ag after structural relaxation from the Alexandria database. Energies are from PBE.

POSCAR file:
```
PrIn2Ag
1.0
2.3737 1.3704 5.3527
-2.3737 1.3704 5.3527
0.0000 -2.7409 5.3527
Pr In Ag
1 2 1
direct
0.0000 0.0000 0.0000
0.2218 0.2218 0.2218
0.7782 0.7782 0.7782
0.5000 0.5000 0.5000
```

Output
Symmetry: R-3m (166)
Calculated formation energy in eV/atom: -0.32
Spin magnetization in μB/cell: 0.00
N(E_F) in states/eV per atom: 0.543
E_tot in eV/atom: -3.60

(2)
Here is LiMg3Ga8 after structural relaxation from the Alexandria database. Energies are from PBE.

POSCAR file:
```
LiMg3Ga8
1.0
-3.6579 3.6579 4.7616
3.6579 -3.6579 4.7616
3.6579 3.6579 -4.7616
Li Mg Ga
1 3 8
direct
0.0000 0.0000 0.0000
0.2500 0.7500 0.5000
0.5000 0.5000 0.0000
0.7500 0.2500 0.5000
0.0817 0.0817 0.7359
0.1760 0.1760 0.4662
0.2902 0.8240 0.0000
0.3458 0.3458 0.2641
0.6542 0.9183 0.0000
0.7098 0.7098 0.5338
0.8240 0.2902 0.0000
0.9183 0.6542 0.0000
```

Output
Symmetry: I-42m (121)
Calculated formation energy in eV/atom: 0.07
Spin magnetization in μB/cell: 0.00
N(E_F) in states/eV per atom: 0.496
E_tot in eV/atom: -2.51

(3)
Here is Pu2PaBi after structural relaxation from the Alexandria database. Energies are from PBE.

POSCAR file:
```
Pu2PaBi
1.0
4.7190 0.0000 0.0000
0.0000 4.7190 0.0000
0.0000 0.0000 4.6831
Pu Pa Bi
2 1 1
direct
0.0000 0.5000 0.0000
0.5000 0.0000 0.0000
0.0000 0.0000 0.5000
0.5000 0.5000 0.5000
```

Output
Symmetry: P4/mmm (123)
Calculated formation energy in eV/atom: -0.10
Spin magnetization in μB/cell: 12.00
N(E_F) in states/eV per atom: 2.646
E_tot in eV/atom: -10.61

(4)
Here is CeIn4Au2 after structural relaxation from the Alexandria database. Energies are from PBE.

POSCAR file:
```
CeIn4Au2
1.0
2.2875 -8.6775 0.0000
2.2875 8.6775 0.0000
0.0000 0.0000 4.4007
Ce In Au
1 4 2
direct
0.0000 0.0000 0.0000
0.1747 0.8253 0.5000
0.3158 0.6842 0.0000
0.6842 0.3158 0.0000
0.8253 0.1747 0.5000
0.4227 0.5773 0.5000
0.5773 0.4227 0.5000
```

Output
Symmetry: Cmmm (65)
Calculated formation energy in eV/atom: -0.28
Spin magnetization in μB/cell: 1.10
N(E_F) in states/eV per atom: 1.269
E_tot in eV/atom: -3.63